Entry from Alexandria via LeMat-Bulk: a relaxed ScCr2MoCl crystal (GGA-PBE).

The structure in extended XYZ format:
```
5
Lattice="4.1493 0.0000 0.0000 0.0000 4.1493 0.0000 0.0000 0.0000 4.6170" Properties=species:S:1:pos:R:3 pbc="T T T"
Sc 0.0000 0.0000 0.0000
Cr 0.0000 2.0746 2.3085
Cr 2.0746 0.0000 2.3085
Mo 2.0746 2.0746 0.0000
Cl 0.0000 0.0000 2.3085
```

Values from the calculation:
Energy relative to the elements, uncorrected, kJ per mole of atoms: 75.3
SG: P4/mmm (123)



Entry from Alexandria via LeMat-Bulk: a relaxed BI2NF crystal (GGA-PBE).

The structure in extended XYZ format:
```
5
Lattice="6.9129 0.0000 0.0000 0.0000 6.9129 0.0000 0.0000 0.0000 2.6996" Properties=species:S:1:pos:R:3 pbc="T T T"
B 0.0000 0.0000 0.0000
I 0.0000 3.4564 0.0000
I 3.4564 0.0000 0.0000
N 0.0000 0.0000 1.3498
F 3.4564 3.4564 1.3498
```

Values from the calculation:
Energy relative to the elements, uncorrected, kJ per mole of atoms: 0.1
SG: P4/mmm (123)
Energy above the most stable polymorph in this dataset, eV per formula unit: 0.000